# 1
Material: CaSb2
Method: DFT, GGA-PBE
State: optimized geometry

The formation energy (no corrections) is -0.28 eV per atom. The calculation puts the calculated volume at 742 Å³ per cell. Its total magnetic moment is 0.00 μB/f.u.

It has space group Fd-3m (No. 227, origin choice 2), with a = 9.053 Å, b = 9.053 Å, c = 9.053 Å, α = 90.00°, β = 90.00° and γ = 90.00°. The distinct sites, in fractional coordinates, are Ca at (0.125, 0.125, 0.125) and Sb at (0.000, 0.000, 0.500).

---

# 2
Material: TlBi2Pb
Method: DFT, GGA-PBE
State: optimized geometry

The calculation puts the calculated volume at 128 Å³ per cell. Its total magnetic moment is 0.00 μB/f.u. The value obtained for the formation enthalpy at 0 K is 16 meV/atom. The energy above the most stable polymorph in this dataset comes out at 0.01 eV per formula unit.

It has space group P4/mmm (No. 123), with a = 4.988 Å, b = 4.988 Å, c = 5.126 Å, α = 90.00°, β = 90.00° and γ = 90.00°. The distinct sites, in fractional coordinates, are Tl at (0.000, 0.000, 0.000), Bi at (0.000, 0.500, 0.500) and Pb at (0.500, 0.500, 0.000).

---

> calculated volume of number 2 (TlBi2Pb)?

128 Å³ per cell

---

> What is the calculated volume in the second record?

128 Å³ per cell